# GdScZnPb PBE optimized geometry
# Calculated formation energy (meV/atom): -342
data_GdScZnPb
_chemical_formula_sum 'Gd4 Sc4 Zn4 Pb4'
_cell_length_a 7.266
_cell_length_b 7.266
_cell_length_c 7.266
_cell_angle_alpha 90.00
_cell_angle_beta 90.00
_cell_angle_gamma 90.00
_space_group_name_H-M_alt 'F -4 3 m'
_space_group_IT_number 216
_space_group_name_Hall 'F -4 2 3'
loop_
_atom_site_label
_atom_site_type_symbol
_atom_site_fract_x
_atom_site_fract_y
_atom_site_fract_z
_atom_site_occupancy
Gd1 Gd 0.000 0.000 0.000 1
Sc1 Sc 0.000 0.000 0.500 1
Zn1 Zn 0.250 0.250 0.250 1
Pb1 Pb 0.250 0.250 0.750 1